1.
4
Lattice="-2.3313 2.3313 3.2603 2.3313 -2.3313 3.2603 2.3313 2.3313 -3.2603" Properties=species:S:1:pos:R:3 comment="CaZrNi2 | Alexandria via LeMat-Bulk | PBE | optimized geometry" dos_at_fermi_per_ev_atom=0.7510 space_group="No. 139" delta_e_f_ev_per_atom=-0.102 pbc="T T T"
Ca 0.0000 0.0000 0.0000
Zr 0.0000 0.0000 3.2603
Ni 2.3313 0.0000 1.6302
Ni 0.0000 2.3313 1.6302

***

2.
4
Lattice="0.0000 3.3100 3.3100 3.3100 0.0000 3.3100 3.3100 3.3100 0.0000" Properties=species:S:1:pos:R:3 comment="LiLuMgIr | Alexandria via LeMat-Bulk | PBE | optimized geometry" dos_at_fermi_per_ev_atom=0.4977 space_group="No. 216" delta_e_f_ev_per_atom=-0.507 pbc="T T T"
Li 0.0000 0.0000 0.0000
Lu 4.9650 4.9650 4.9650
Mg 1.6550 1.6550 1.6550
Ir 3.3100 3.3100 3.3100

***

3.
4
Lattice="2.4722 0.0000 0.0000 0.0000 4.1211 0.0000 -1.2056 0.0000 4.9746" Properties=species:S:1:pos:R:3 comment="ZnCrCu2 | Alexandria via LeMat-Bulk | PBE | optimized geometry" dos_at_fermi_per_ev_atom=0.6033 space_group="No. 6" delta_e_f_ev_per_atom=0.211 pbc="T T T"
Zn 0.0000 0.0000 0.0000
Cr 1.2545 2.0605 1.4563
Cu 0.0226 0.0000 2.5277
Cu 0.0123 2.0605 3.8666

***

4.
5
Lattice="5.8501 0.0000 0.0000 0.0000 5.8501 0.0000 0.0000 0.0000 5.8501" Properties=species:S:1:pos:R:3 comment="LaGa3Hg | Alexandria via LeMat-Bulk | PBE | optimized geometry" dos_at_fermi_per_ev_atom=1.8614 space_group="No. 221" delta_e_f_ev_per_atom=0.709 pbc="T T T"
La 0.0000 0.0000 0.0000
Ga 0.0000 0.0000 2.9250
Ga 0.0000 2.9250 0.0000
Ga 2.9250 0.0000 0.0000
Hg 2.9250 2.9250 2.9250

***

5.
12
Lattice="5.7542 -3.1567 0.0000 5.7542 3.1567 0.0000 -0.4022 0.0000 4.6536" Properties=species:S:1:pos:R:3 comment="NpC2O8F | Alexandria via LeMat-Bulk | PBE | optimized geometry" space_group="No. 12" pbc="T T T"
Np 0.0000 0.0000 0.0000
C 4.2549 0.0000 3.1693
C 6.8513 0.0000 1.4843
O 1.3368 0.0000 4.3972
O 4.7002 1.1075 3.6595
O 3.4652 0.0000 2.2063
O 6.4060 1.1075 0.9941
O 4.7002 -1.1075 3.6595
O 7.6409 0.0000 2.4473
O 6.4060 -1.1075 0.9941
O 9.7693 0.0000 0.2564
F -0.2011 0.0000 2.3268

***

6.
5
Lattice="5.0027 0.0000 0.0000 0.0000 5.0027 0.0000 0.0000 0.0000 5.5787" Properties=species:S:1:pos:R:3 comment="BaI2OF | Alexandria via LeMat-Bulk | PBE | optimized geometry" dos_at_fermi_per_ev_atom=0.3161 space_group="No. 123" relative_energy_ev_per_fu=0.00 pbc="T T T"
Ba 0.0000 0.0000 0.0000
I 0.0000 2.5013 2.7893
I 2.5013 0.0000 2.7893
O 2.5013 2.5013 0.0000
F 2.5013 2.5013 2.7893

***

Asked for uncorrected energy across the records above, the calculation gives -22.52, -18.92, -18.25, -10.77, -90.47, -15.48 eV per formula unit in order.